DFT (PBE+U) results for a relaxed InMoAsO5 crystal.

The structure in extended XYZ format:
```
16
Lattice="3.3625 -4.6726 0.0000 3.3625 4.6726 0.0000 -2.7849 0.0000 7.0802" Properties=species:S:1:pos:R:3 pbc="T T T"
In 0.0000 0.0000 0.0000
In -1.3924 0.0000 3.5401
Mo 1.2738 1.7008 5.3101
Mo 2.6662 -1.7008 1.7700
As 2.6662 1.7165 1.7700
As 1.2738 -1.7165 5.3101
O 1.4504 2.7770 2.4395
O 1.2738 3.8135 5.3101
O 2.0801 0.6715 0.5416
O 3.8821 2.7770 1.1006
O 0.6876 -0.6715 4.0817
O 3.2524 0.6715 2.9985
O 0.0579 -2.7770 5.9796
O 1.8600 -0.6715 6.5386
O 2.6662 -3.8135 1.7700
O 2.4897 -2.7770 4.6407
```

Values from the calculation:
E_tot ... -6.142 eV per atom
SG ... C2/c, No. 15
Mass density ... 5.46 g cm⁻³